Below is crystalline Fe4CoCl at its relaxed geometry, with properties calculated at the GGA-PBE level.

Output
As for the density: 6.380 g/cm³. The total magnetization comes out at 12.90 μB/f.u. Its formation energy without anion corrections is 0.66 eV per atom.

Cell: 6.916 6.916 6.916 Å, 90.00 90.00 90.00°
Space group F-43m (No. 216)
Symmetry-distinct sites (fractional):
Fe 0.124 0.124 0.124 x16
Co 0.250 0.250 0.750 x4
Cl 0.000 0.000 0.500 x4

Below is crystalline Fe2CoCl at its relaxed geometry, with properties calculated at the GGA-PBE level.

Output
As for the energy above the most stable polymorph in this dataset: 129.0 meV per atom. As for the density: 6.061 g/cm³. The total magnetization comes out at 7.56 μB/f.u. Its formation energy without anion corrections is 0.27 eV per atom.

Cell: 2.911 2.911 6.662 Å, 90.00 90.00 90.00°
Space group P4mm (No. 99)
Symmetry-distinct sites (fractional):
Fe 0.000 0.000 0.000 x1
Fe 0.500 0.500 0.231 x1
Co 0.500 0.500 0.814 x1
Cl 0.000 0.000 0.477 x1

Below is crystalline FeCo2Cl at its relaxed geometry, with properties calculated at the GGA-PBE level.

Output
As for the energy above the most stable polymorph in this dataset: 141.7 meV per atom. As for the density: 6.602 g/cm³. The total magnetization comes out at 6.33 μB/f.u. Its formation energy without anion corrections is 0.28 eV per atom.

Cell: 2.922 2.922 6.161 Å, 90.00 90.00 90.00°
Space group P4/mmm (No. 123)
Symmetry-distinct sites (fractional):
Fe 0.000 0.000 0.000 x1
Co 0.500 0.500 0.218 x2
Cl 0.000 0.000 0.500 x1

Below is crystalline FeCoCl at its relaxed geometry, with properties calculated at the GGA-PBE level.

Output
As for the energy above the most stable polymorph in this dataset: 0.0 meV per atom. As for the density: 5.566 g/cm³. The total magnetization comes out at 4.98 μB/f.u. Its formation energy without anion corrections is 0.18 eV per atom.

Cell: 3.0705 3.0705 5.4890 Å, 90.00 90.00 120.00°
Space group P3m1 (No. 156)
Symmetry-distinct sites (fractional):
Fe 0.0000 0.0000 0.0000 x1
Co 0.6667 0.3333 0.7218 x1
Cl 0.3333 0.6667 0.3327 x1

Below is crystalline Fe2CoCl at its relaxed geometry, with properties calculated at the GGA-PBE level.

Output
As for the energy above the most stable polymorph in this dataset: 398.5 meV per atom. As for the density: 6.718 g/cm³. The total magnetization comes out at 6.95 μB/f.u. Its formation energy without anion corrections is 0.54 eV per atom.

Cell: 2.832 4.256 8.452 Å, 90.00 90.00 90.00°
Space group Immm (No. 71)
Symmetry-distinct sites (fractional):
Fe 0.000 0.000 0.242 x4
Co 0.000 0.500 0.000 x2
Cl 0.000 0.500 0.500 x2

Below is crystalline Fe2CoCl at its relaxed geometry, with properties calculated at the GGA-PBE level.

Output
As for the energy above the most stable polymorph in this dataset: 361.6 meV per atom. As for the density: 6.361 g/cm³. The total magnetization comes out at 7.50 μB/f.u. Its formation energy without anion corrections is 0.50 eV per atom.

Cell: 8.322 2.862 4.536 Å, 90.00 95.39 90.00°
Space group C2/m (No. 12)
Symmetry-distinct sites (fractional):
Fe 0.239 0.000 0.223 x4
Co 0.000 0.500 0.000 x2
Cl 0.000 0.000 0.500 x2

Below is crystalline FeCo3Cl at its relaxed geometry, with properties calculated at the GGA-PBE level.

Output
As for the energy above the most stable polymorph in this dataset: 0.0 meV per atom. As for the density: 6.613 g/cm³. The total magnetization comes out at 6.01 μB/f.u. Its formation energy without anion corrections is 0.89 eV per atom.

Cell: 4.068 4.068 4.068 Å, 90.00 90.00 90.00°
Space group Pm-3m (No. 221)
Symmetry-distinct sites (fractional):
Fe 0.000 0.000 0.000 x1
Co 0.000 0.500 0.500 x3
Cl 0.500 0.500 0.500 x1

Below is crystalline FeCo2Cl at its relaxed geometry, with properties calculated at the GGA-PBE level.

Output
As for the energy above the most stable polymorph in this dataset: 553.0 meV per atom. As for the density: 6.708 g/cm³. The total magnetization comes out at 6.62 μB/f.u. Its formation energy without anion corrections is 0.69 eV per atom.

Cell: 3.593 3.593 8.020 Å, 90.00 90.00 90.00°
Space group I4/mmm (No. 139)
Symmetry-distinct sites (fractional):
Fe 0.000 0.000 0.000 x2
Co 0.000 0.500 0.250 x4
Cl 0.000 0.000 0.500 x2